CaPb2Au6 PBE optimized geometry; total magnetic moment = 0.00 μB per formula unit; symmetry = No. 71; E_form = -0.226 eV per atom
1.0
-1.836 4.000 7.139
1.836 -4.000 7.139
1.836 4.000 -7.139
Ca Pb Au
1 2 6
Direct
0.000 0.000 0.000
0.355 0.855 0.500
0.645 0.145 0.500
0.000 0.325 0.675
0.000 0.675 0.325
0.315 0.500 0.815
0.350 0.675 0.675
0.650 0.325 0.325
0.685 0.500 0.185

CdRuRh2 PBE optimized geometry; total magnetic moment = 0.00 μB per formula unit; symmetry = No. 122; E_form = 0.584 eV per atom
1.0
-3.574 3.574 2.721
3.574 -3.574 2.721
3.574 3.574 -2.721
Cd Ru Rh
2 2 4
Direct
0.000 0.000 0.000
0.750 0.250 0.500
0.250 0.750 0.500
0.500 0.500 0.000
0.162 0.625 0.037
0.375 0.412 0.537
0.588 0.125 0.963
0.875 0.838 0.463